Entry 1:
A geometry-optimized Na12H5Br3 structure. Source: Alexandria, functional PBE-GGA.

The electronic total energy comes out at -359.50 eV for the cell shown.

The structure belongs to space group Ia-3d (No. 230); the cell edges are 15.733, 15.733 and 15.733 Å and the angles 90.00°, 90.00° and 90.00°. The asymmetric unit holds Na at (0.038, 0.049, 0.650), H at (0.000, 0.000, 0.000), H at (0.000, 0.250, 0.375) and Br at (0.000, 0.250, 0.125).

***

Entry 2:
A geometry-optimized Na2H2Br5 structure. Source: Alexandria, functional PBE-GGA.

The electronic total energy comes out at -95.81 eV for the cell shown.

The structure belongs to space group Ima2 (No. 46); the cell edges are 22.814, 9.053 and 5.690 Å and the angles 90.00°, 90.00° and 90.00°. The asymmetric unit holds Na at (0.155, 0.029, 0.000), H at (0.000, 0.000, 0.989), H at (0.250, 0.113, 0.499), Br at (0.051, 0.638, 0.489), Br at (0.175, 0.112, 0.500) and Br at (0.250, 0.724, 0.502).

***

Entry 3:
A geometry-optimized Na2H2Br structure. Source: Alexandria, functional PBE-GGA.

The electronic total energy comes out at -13.31 eV for the cell shown. Its distance to the lowest polymorph of the same formula is 7 meV per atom.

The structure belongs to space group P-1 (No. 2); the cell edges are 4.180, 4.190 and 6.966 Å and the angles 102.93°, 96.72° and 115.25°. The asymmetric unit holds Na at (0.241, 0.497, 0.235), H at (0.404, 0.903, 0.000) and Br at (0.000, 0.000, 0.500).

***

> Among the records above, which one has the highest electronic total energy?

Na2H2Br